[1]
First-principles (GGA-PBE) data for an optimized crystal structure of Li2CdIn, as listed in Alexandria.

Properties
The value obtained for the total energy is -2.1303 eV per atom. The density of states at the Fermi level is 1.1 states/eV/f.u.

```
data_Li2CdIn
_space_group_name_H-M_alt 'P m m 2'
_space_group_IT_number 25
_cell_length_a 3.005
_cell_length_b 4.881
_cell_length_c 5.307
_cell_angle_alpha 90.00
_cell_angle_beta 90.00
_cell_angle_gamma 90.00
loop_
_space_group_symop_operation_xyz
'x,y,z'
'-x,-y,z'
'-x,y,z'
'x,-y,z'
loop_
_atom_site_label
_atom_site_type_symbol
_atom_site_fract_x
_atom_site_fract_y
_atom_site_fract_z
Li1 Li 0.000 0.000 0.000
Li2 Li 0.000 0.500 0.333
Cd1 Cd 0.500 0.500 0.847
In1 In 0.500 0.000 0.493
```



[2]
First-principles (GGA-PBE) data for an optimized crystal structure of U2Fe3Os, as listed in Alexandria.

Properties
The value obtained for the total energy is -9.9952 eV per atom. The density of states at the Fermi level is 9.8 states/eV/f.u.

```
data_U2Fe3Os
_space_group_name_H-M_alt 'C 1 2/m 1'
_space_group_IT_number 12
_cell_length_a 8.509
_cell_length_b 4.926
_cell_length_c 5.259
_cell_angle_alpha 90.00
_cell_angle_beta 123.08
_cell_angle_gamma 90.00
loop_
_space_group_symop_operation_xyz
'x,y,z'
'-x,-y,-z'
'-x,y,-z'
'x,-y,z'
'x+1/2,y+1/2,z'
'-x+1/2,-y+1/2,-z'
'-x+1/2,y+1/2,-z'
'x+1/2,-y+1/2,z'
loop_
_atom_site_label
_atom_site_type_symbol
_atom_site_fract_x
_atom_site_fract_y
_atom_site_fract_z
U1 U 0.129 0.000 0.388
Fe1 Fe 0.000 0.500 0.000
Fe2 Fe 0.250 0.250 0.000
Os1 Os 0.000 0.500 0.500
```



[3]
First-principles (GGA-PBE) data for an optimized crystal structure of PrNdV, as listed in Alexandria.

Properties
The value obtained for the total energy is -5.7389 eV per atom. The density of states at the Fermi level is 4.0 states/eV/f.u.

```
data_PrNdV
_space_group_name_H-M_alt 'P 4/n m m'
_space_group_IT_number 129
_cell_length_a 4.968
_cell_length_b 4.968
_cell_length_c 7.512
_cell_angle_alpha 90.00
_cell_angle_beta 90.00
_cell_angle_gamma 90.00
loop_
_space_group_symop_operation_xyz
'x,y,z'
'-x,-y,-z'
'-y+1/2,x,z'
'y+1/2,-x,-z'
'-x+1/2,-y+1/2,z'
'x+1/2,y+1/2,-z'
'y,-x+1/2,z'
'-y,x+1/2,-z'
'x+1/2,-y,-z'
'-x+1/2,y,z'
'-y,-x,-z'
'y,x,z'
'-x,y+1/2,-z'
'x,-y+1/2,z'
'y+1/2,x+1/2,-z'
'-y+1/2,-x+1/2,z'
loop_
_atom_site_label
_atom_site_type_symbol
_atom_site_fract_x
_atom_site_fract_y
_atom_site_fract_z
Pr1 Pr 0.250 0.250 0.217
Nd1 Nd 0.250 0.250 0.716
V1 V 0.250 0.750 0.500
```



[4]
First-principles (GGA-PBE) data for an optimized crystal structure of AcThGaSn, as listed in Alexandria.

Properties
The value obtained for the total energy is -5.0003 eV per atom. The density of states at the Fermi level is 5.3 states/eV/f.u.

```
data_AcThGaSn
_space_group_name_H-M_alt 'F -4 3 m'
_space_group_IT_number 216
_space_group_name_Hall 'F -4 2 3'
_cell_length_a 7.811
_cell_length_b 7.811
_cell_length_c 7.811
_cell_angle_alpha 90.00
_cell_angle_beta 90.00
_cell_angle_gamma 90.00
loop_
_atom_site_label
_atom_site_type_symbol
_atom_site_fract_x
_atom_site_fract_y
_atom_site_fract_z
Ac1 Ac 0.000 0.000 0.000
Th1 Th 0.000 0.000 0.500
Ga1 Ga 0.250 0.250 0.750
Sn1 Sn 0.250 0.250 0.250
```